Record 1
First-principles (GGA-PBE) data for K3Pm2ScS6 after structural relaxation, as listed in Alexandria via LeMat-Bulk.

Its uncorrected energy is -0.402 Ry per atom.

It has space group C2/m (No. 12), with a = 7.034 Å, b = 12.185 Å, c = 7.735 Å, α = 90.00°, β = 107.70° and γ = 90.00°. The distinct sites, in fractional coordinates, are K at (0.000, 0.000, 0.000), K at (0.000, 0.332, 0.000), Pm at (0.000, 0.166, 0.500), Sc at (0.000, 0.500, 0.500), S at (0.225, 0.342, 0.701) and S at (0.248, 0.500, 0.299).

---

Record 2
First-principles (GGA-PBE) data for TaSn2H after structural relaxation, as listed in Alexandria via LeMat-Bulk.

Its uncorrected energy is -0.395 Ry per atom. The distance to the lowest polymorph of the same formula is 0.000 eV per atom.

It has space group I-42d (No. 122), with a = 6.521 Å, b = 6.521 Å, c = 6.575 Å, α = 90.00°, β = 90.00° and γ = 90.00°. The distinct sites, in fractional coordinates, are Ta at (0.000, 0.000, 0.000), Sn at (0.160, 0.250, 0.625) and H at (0.000, 0.000, 0.500).

---

Record 3
First-principles (GGA-PBE) data for YMgCoAg after structural relaxation, as listed in Alexandria via LeMat-Bulk.

The calculation puts the formation energy at -60 meV/atom. Its uncorrected energy is -0.335 Ry per atom.

It has space group F-43m (No. 216), with a = 6.750 Å, b = 6.750 Å, c = 6.750 Å, α = 90.00°, β = 90.00° and γ = 90.00°. The distinct sites, in fractional coordinates, are Y at (0.000, 0.000, 0.000), Mg at (0.000, 0.000, 0.500), Co at (0.250, 0.250, 0.250) and Ag at (0.250, 0.250, 0.750).

---

Record 4
First-principles (GGA-PBE) data for Sc3SnI after structural relaxation, as listed in Alexandria via LeMat-Bulk.

Its uncorrected energy is -0.346 Ry per atom. The distance to the lowest polymorph of the same formula is 0.000 eV per atom.

It has space group Pm-3m (No. 221), with a = 5.479 Å, b = 5.479 Å, c = 5.479 Å, α = 90.00°, β = 90.00° and γ = 90.00°. The distinct sites, in fractional coordinates, are Sc at (0.000, 0.000, 0.500), Sn at (0.000, 0.000, 0.000) and I at (0.500, 0.500, 0.500).

---

Record 5
First-principles (GGA-PBE) data for PmHo4Au5 after structural relaxation, as listed in Alexandria via LeMat-Bulk.

The calculation puts the formation energy at -857 meV/atom. Its uncorrected energy is -0.353 Ry per atom.

It has space group P4/mmm (No. 123), with a = 3.574 Å, b = 3.574 Å, c = 18.326 Å, α = 90.00°, β = 90.00° and γ = 90.00°. The distinct sites, in fractional coordinates, are Pm at (0.000, 0.000, 0.000), Ho at (0.000, 0.000, 0.203), Ho at (0.000, 0.000, 0.401), Au at (0.500, 0.500, 0.109), Au at (0.500, 0.500, 0.303) and Au at (0.500, 0.500, 0.500).

---

Record 6
First-principles (GGA-PBE) data for Ag2HgPdPb after structural relaxation, as listed in Alexandria via LeMat-Bulk.

The calculation puts the formation energy at 376 meV/atom. Its uncorrected energy is -0.191 Ry per atom.

It has space group P4/mmm (No. 123), with a = 5.127 Å, b = 5.127 Å, c = 5.117 Å, α = 90.00°, β = 90.00° and γ = 90.00°. The distinct sites, in fractional coordinates, are Ag at (0.000, 0.500, 0.000), Hg at (0.000, 0.000, 0.500), Pd at (0.000, 0.000, 0.000) and Pb at (0.500, 0.500, 0.500).

---

Record 7
First-principles (GGA-PBE) data for CsCdTc2 after structural relaxation, as listed in Alexandria via LeMat-Bulk.

The calculation puts the formation energy at 1945 meV/atom. Its uncorrected energy is -0.270 Ry per atom.

It has space group I-42d (No. 122), with a = 8.232 Å, b = 8.232 Å, c = 6.103 Å, α = 90.00°, β = 90.00° and γ = 90.00°. The distinct sites, in fractional coordinates, are Cs at (0.000, 0.000, 0.000), Cd at (0.000, 0.000, 0.500) and Tc at (0.216, 0.250, 0.625).

---

Record 8
First-principles (GGA-PBE) data for Ta2VSiP after structural relaxation, as listed in Alexandria via LeMat-Bulk.

Its uncorrected energy is -0.609 Ry per atom.

It has space group P4/mmm (No. 123), with a = 4.620 Å, b = 4.620 Å, c = 4.171 Å, α = 90.00°, β = 90.00° and γ = 90.00°. The distinct sites, in fractional coordinates, are Ta at (0.000, 0.500, 0.000), V at (0.000, 0.000, 0.500), Si at (0.500, 0.500, 0.500) and P at (0.000, 0.000, 0.000).

---

Record 9
First-principles (GGA-PBE) data for La12TbNd7 after structural relaxation, as listed in Alexandria via LeMat-Bulk.

The calculation puts the formation energy at 177 meV/atom. Its uncorrected energy is -0.344 Ry per atom. The distance to the lowest polymorph of the same formula is 0.003 eV per atom.

It has space group R-3 (No. 148, hexagonal axes), with a = 12.6224 Å, b = 12.6224 Å, c = 15.6725 Å, α = 90.00°, β = 90.00° and γ = 120.00°. The distinct sites, in fractional coordinates, are La at (0.0213, 0.4435, 0.2230), La at (0.0653, 0.5924, 0.5778), Tb at (0.0000, 0.0000, 0.5000), Nd at (0.0000, 0.0000, 0.0000) and Nd at (0.0587, 0.1854, 0.3020).

---

Record 10
First-principles (GGA-PBE) data for CaH3Pt after structural relaxation, as listed in Alexandria via LeMat-Bulk.

Its uncorrected energy is -0.306 Ry per atom.

It has space group P-1 (No. 2), with a = 4.123 Å, b = 4.725 Å, c = 7.196 Å, α = 103.93°, β = 92.47° and γ = 115.55°. The distinct sites, in fractional coordinates, are Ca at (0.246, 0.008, 0.257), H at (0.201, 0.905, 0.566), H at (0.260, 0.487, 0.183), H at (0.316, 0.096, 0.934), Pt at (0.000, 0.500, 0.500) and Pt at (0.500, 0.500, 0.000).

---

Record 11
First-principles (GGA-PBE) data for In2Pd4Au after structural relaxation, as listed in Alexandria via LeMat-Bulk.

The calculation puts the formation energy at -174 meV/atom. Its uncorrected energy is -0.323 Ry per atom. The distance to the lowest polymorph of the same formula is 0.142 eV per atom.

It has space group I4/mmm (No. 139), with a = 3.826 Å, b = 3.826 Å, c = 18.621 Å, α = 90.00°, β = 90.00° and γ = 90.00°. The distinct sites, in fractional coordinates, are In at (0.000, 0.000, 0.118), Pd at (0.000, 0.000, 0.358), Pd at (0.000, 0.500, 0.250) and Au at (0.000, 0.000, 0.500).

---

Record 12
First-principles (GGA-PBE) data for AcB14W after structural relaxation, as listed in Alexandria via LeMat-Bulk.

The calculation puts the formation energy at -41 meV/atom. Its uncorrected energy is -0.511 Ry per atom.

It has space group Imma (No. 74), with a = 5.901 Å, b = 11.166 Å, c = 8.396 Å, α = 90.00°, β = 90.00° and γ = 90.00°. The distinct sites, in fractional coordinates, are Ac at (0.000, 0.250, 0.127), B at (0.000, 0.080, 0.668), B at (0.000, 0.116, 0.865), B at (0.000, 0.166, 0.471), B at (0.161, 0.060, 0.341), B at (0.247, 0.076, 0.552) and W at (0.250, 0.250, 0.750).

---

Record 13
First-principles (GGA-PBE) data for GaSbH2 after structural relaxation, as listed in Alexandria via LeMat-Bulk.

Its uncorrected energy is -0.252 Ry per atom. The distance to the lowest polymorph of the same formula is 0.025 eV per atom.

It has space group P1 (No. 1), with a = 4.506 Å, b = 4.506 Å, c = 4.506 Å, α = 90.84°, β = 119.51° and γ = 119.52°. The distinct sites, in fractional coordinates, are Ga at (0.000, 0.000, 0.000), Sb at (0.500, 0.250, 0.750), H at (0.495, 0.687, 0.188) and H at (0.507, 0.816, 0.312).

---

Record 14
First-principles (GGA-PBE) data for PaBeSi2Ir after structural relaxation, as listed in Alexandria via LeMat-Bulk.

Its uncorrected energy is -0.535 Ry per atom.

It has space group I-4m2 (No. 119), with a = 3.954 Å, b = 3.954 Å, c = 10.063 Å, α = 90.00°, β = 90.00° and γ = 90.00°. The distinct sites, in fractional coordinates, are Pa at (0.000, 0.000, 0.000), Be at (0.000, 0.500, 0.250), Si at (0.000, 0.000, 0.383) and Ir at (0.000, 0.500, 0.750).

---

Record 15
First-principles (GGA-PBE) data for KAcH2 after structural relaxation, as listed in Alexandria via LeMat-Bulk.

Its uncorrected energy is -0.234 Ry per atom. The distance to the lowest polymorph of the same formula is 0.000 eV per atom.

It has space group R-3m (No. 166, hexagonal axes), with a = 4.1008 Å, b = 4.1008 Å, c = 21.5995 Å, α = 90.00°, β = 90.00° and γ = 120.00°. The distinct sites, in fractional coordinates, are K at (0.0000, 0.0000, 0.0000), Ac at (0.0000, 0.0000, 0.5000) and H at (0.0000, 0.0000, 0.2079).

---

Record 16
First-principles (GGA-PBE) data for Tm4Mg2In after structural relaxation, as listed in Alexandria via LeMat-Bulk.

The calculation puts the formation energy at -4 meV/atom. Its uncorrected energy is -0.250 Ry per atom. The distance to the lowest polymorph of the same formula is 0.000 eV per atom.

It has space group P2_1/m (No. 11), with a = 8.013 Å, b = 6.243 Å, c = 8.649 Å, α = 90.00°, β = 114.91° and γ = 90.00°. The distinct sites, in fractional coordinates, are Tm at (0.116, 0.250, 0.067), Tm at (0.121, 0.505, 0.718), Tm at (0.271, 0.750, 0.304), Mg at (0.285, 0.250, 0.484), Mg at (0.472, 0.750, 0.053) and In at (0.459, 0.750, 0.699).

---

Record 17
First-principles (GGA-PBE) data for PPt5 after structural relaxation, as listed in Alexandria via LeMat-Bulk.

The calculation puts the formation energy at -19 meV/atom. Its uncorrected energy is -0.438 Ry per atom. The distance to the lowest polymorph of the same formula is 0.000 eV per atom.

It has space group P4/mmm (No. 123), with a = 2.889 Å, b = 2.889 Å, c = 10.990 Å, α = 90.00°, β = 90.00° and γ = 90.00°. The distinct sites, in fractional coordinates, are P at (0.000, 0.000, 0.000), Pt at (0.000, 0.000, 0.326), Pt at (0.500, 0.500, 0.142) and Pt at (0.500, 0.500, 0.500).

---

Record 18
First-principles (GGA-PBE) data for CdGeSe2N after structural relaxation, as listed in Alexandria via LeMat-Bulk.

Its uncorrected energy is -0.269 Ry per atom. The distance to the lowest polymorph of the same formula is 0.000 eV per atom.

It has space group P4/mmm (No. 123), with a = 5.349 Å, b = 5.349 Å, c = 3.512 Å, α = 90.00°, β = 90.00° and γ = 90.00°. The distinct sites, in fractional coordinates, are Cd at (0.000, 0.000, 0.000), Ge at (0.500, 0.500, 0.500), Se at (0.000, 0.500, 0.500) and N at (0.500, 0.500, 0.000).

---

Record 19
First-principles (GGA-PBE) data for NaH2S after structural relaxation, as listed in Alexandria via LeMat-Bulk.

Its uncorrected energy is -0.205 Ry per atom. The distance to the lowest polymorph of the same formula is 0.263 eV per atom.

It has space group R-3m (No. 166, hexagonal axes), with a = 3.5031 Å, b = 3.5031 Å, c = 12.2002 Å, α = 90.00°, β = 90.00° and γ = 120.00°. The distinct sites, in fractional coordinates, are Na at (0.0000, 0.0000, 0.0000), H at (0.0000, 0.0000, 0.2040) and S at (0.0000, 0.0000, 0.5000).

---

Record 20
First-principles (GGA-PBE) data for Th3H3Pb after structural relaxation, as listed in Alexandria via LeMat-Bulk.

Its uncorrected energy is -0.393 Ry per atom. The distance to the lowest polymorph of the same formula is 0.128 eV per atom.

It has space group P2_13 (No. 198), with a = 8.340 Å, b = 8.340 Å, c = 8.340 Å, α = 90.00°, β = 90.00° and γ = 90.00°. The distinct sites, in fractional coordinates, are Th at (0.023, 0.023, 0.023), Th at (0.215, 0.285, 0.715), Th at (0.242, 0.742, 0.758), H at (0.003, 0.145, 0.789) and Pb at (0.045, 0.955, 0.455).